[1]
The following is a DFT calculation (GGA-PBE) of KTi2B after structural relaxation. Values from VASP.

Geometry as Quantum ESPRESSO input:
```
&SYSTEM
  ibrav = 0, nat = 8, ntyp = 3
/
ATOMIC_SPECIES
K 39.10 K.upf
B 10.81 B.upf
Ti 47.87 Ti.upf
CELL_PARAMETERS angstrom
-3.306 -5.775 1.453
0.869 -2.112 -6.416
2.955 -6.018 -1.234
ATOMIC_POSITIONS crystal
K 0.000 0.000 0.000
K 0.750 0.250 0.500
B 0.500 0.500 0.000
B 0.250 0.750 0.500
Ti 0.374 0.125 0.250
Ti 0.376 0.625 0.250
Ti 0.375 0.626 0.750
Ti 0.875 0.624 0.750
```

[2]
! KTiB GGA-PBE optimized geometry; values from VASP
&SYSTEM
  ibrav = 0, nat = 12, ntyp = 3
/
ATOMIC_SPECIES
K 39.10 K.upf
B 10.81 B.upf
Ti 47.87 Ti.upf
CELL_PARAMETERS angstrom
-2.486 6.589 3.541
-0.873 -2.024 3.154
8.890 1.511 3.431
ATOMIC_POSITIONS crystal
K 0.992 0.250 0.823
K 0.508 0.750 0.323
K 0.008 0.750 0.177
K 0.492 0.250 0.677
B 0.860 0.250 0.425
B 0.640 0.750 0.925
B 0.140 0.750 0.575
B 0.360 0.250 0.075
Ti 0.125 0.250 0.467
Ti 0.375 0.750 0.967
Ti 0.875 0.750 0.533
Ti 0.625 0.250 0.033
! energy above the most stable polymorph in this dataset = 515 meV per atom

In the order shown, the computed total DFT energy (no corrections) values come out to -5.039; -4.592 eV per atom.
In the order shown, the computed E_form values come out to 852; 632 meV per atom.